! NbRuRh2N (GGA-PBEsol, optimized geometry); values from VASP
&SYSTEM
  ibrav = 0, nat = 5, ntyp = 4
/
ATOMIC_SPECIES
Ru 101.07 Ru.upf
Nb 92.91 Nb.upf
Rh 102.91 Rh.upf
N 14.01 N.upf
ATOMIC_POSITIONS crystal
Ru 0.0000 0.0000 0.0000
Nb 0.5000 0.5000 0.5000
Rh 0.0000 0.0000 0.5000
Rh 0.0000 0.5000 0.0000
N 0.5000 0.0000 0.0000
CELL_PARAMETERS angstrom
3.5459 0.0000 0.0000
0.0000 4.7656 0.0000
0.0000 0.0000 4.7656
! Calculated volume ... 16.106 Å³ per atom
! Uncorrected formation energy ... 1.10 eV per atom



! BaLiMo2 (GGA-PBEsol, optimized geometry); values from VASP
&SYSTEM
  ibrav = 0, nat = 4, ntyp = 3
/
ATOMIC_SPECIES
Ba 137.33 Ba.upf
Li 6.94 Li.upf
Mo 95.94 Mo.upf
ATOMIC_POSITIONS crystal
Ba 0.0000 0.0000 0.4804
Li 0.5000 0.5000 0.8242
Mo 0.0000 0.0000 0.0281
Mo 0.5000 0.5000 0.1674
CELL_PARAMETERS angstrom
3.2633 0.0000 0.0000
0.0000 3.2633 0.0000
0.0000 0.0000 8.2070
! E_form ... 57.33 kJ/mol of atoms
! Calculated volume ... 21.850 Å³ per atom
! Polymorph energy (0 for the lowest one) ... 0.000 eV per atom



! InAgSCl2 (GGA-PBEsol, optimized geometry); values from VASP
&SYSTEM
  ibrav = 0, nat = 5, ntyp = 4
/
ATOMIC_SPECIES
S 32.06 S.upf
Cl 35.45 Cl.upf
Ag 107.87 Ag.upf
In 114.82 In.upf
ATOMIC_POSITIONS crystal
S 0.5000 0.0000 0.0000
Cl 0.0000 0.0000 0.5000
Cl 0.0000 0.5000 0.0000
Ag 0.0000 0.0000 0.0000
In 0.5000 0.5000 0.5000
CELL_PARAMETERS angstrom
4.9429 0.0000 0.0000
0.0000 4.8560 0.0000
0.0000 0.0000 4.8560
! Calculated volume ... 23.311 Å³ per atom
! Uncorrected formation energy ... -0.14 eV per atom



! Zr2BeAu (GGA-PBEsol, optimized geometry); values from VASP
&SYSTEM
  ibrav = 0, nat = 4, ntyp = 3
/
ATOMIC_SPECIES
Be 9.01 Be.upf
Au 196.97 Au.upf
Zr 91.22 Zr.upf
ATOMIC_POSITIONS crystal
Be 0.6751 0.5000 0.3503
Au 0.8103 0.0000 0.6206
Zr 0.0940 0.0000 0.1880
Zr 0.4158 0.5000 0.8317
CELL_PARAMETERS angstrom
-1.8169 0.4609 2.7688
-2.6466 -2.6906 -1.2889
3.6517 -4.0998 1.0599
! E_form ... -29.52 kJ/mol of atoms
! Calculated volume ... 17.788 Å³ per atom



! BaZnBr2 (GGA-PBEsol, optimized geometry); values from VASP
&SYSTEM
  ibrav = 0, nat = 4, ntyp = 3
/
ATOMIC_SPECIES
Ba 137.33 Ba.upf
Br 79.90 Br.upf
Zn 65.41 Zn.upf
ATOMIC_POSITIONS crystal
Ba 0.2508 0.7508 0.5015
Br 0.0000 0.0000 0.9999
Br 0.7492 0.2492 0.4984
Zn 0.5001 0.5001 0.0001
CELL_PARAMETERS angstrom
4.6979 0.0002 -0.0001
0.0002 4.6745 0.0002
-2.3491 -2.3372 5.2871
! Calculated volume ... 29.027 Å³ per atom
! Uncorrected formation energy ... -1.20 eV per atom
! Polymorph energy (0 for the lowest one) ... 0.097 eV per atom



! HfTiCr2C (GGA-PBEsol, optimized geometry); values from VASP
&SYSTEM
  ibrav = 0, nat = 5, ntyp = 4
/
ATOMIC_SPECIES
Cr 52.00 Cr.upf
C 12.01 C.upf
Hf 178.49 Hf.upf
Ti 47.87 Ti.upf
ATOMIC_POSITIONS crystal
Cr 0.0000 0.5000 0.0000
Cr 0.5000 0.0000 0.0000
C 0.0000 0.0000 0.0000
Hf 0.0000 0.0000 0.5000
Ti 0.5000 0.5000 0.5000
CELL_PARAMETERS angstrom
3.8662 0.0000 0.0000
0.0000 3.8662 0.0000
0.0000 0.0000 4.4220
! E_form ... -2.88 kJ/mol of atoms
! Calculated volume ... 13.219 Å³ per atom